No. 1
This record from the Alexandria database describes a relaxed ZrSBrO6 crystal. The functional is GGA-PBE.

abc: 5.562 5.638 6.120
angles: 99.72 93.48 55.18
Atoms (fractional coordinates):
O 0.288 0.728 0.316
Zr 0.657 0.622 0.447
Br 0.018 0.085 0.167
O 0.107 0.443 0.600
O 0.512 0.001 0.732
O 0.871 0.469 0.133
O 0.543 0.047 0.362
O 0.576 0.379 0.655
S 0.428 0.227 0.589

Calculated values
Magnetization   1.00 Bohr magnetons per cell
Theoretical density   3.2 g/cm³
ΔE_f (raw)   -1.46 eV/atom
E_tot   -6.36 eV per atom

***

No. 2
This record from the Alexandria database describes a relaxed ZrAl2Hg crystal. The functional is GGA-PBE.

abc: 4.373 3.133 5.736
angles: 89.99 90.00 90.00
Atoms (fractional coordinates):
Al 0.000 0.249 0.979
Al 0.000 0.251 0.521
Hg 0.500 0.250 0.250
Zr 0.500 0.750 0.750

Calculated values
Energy of formation   -0.9 eV per formula unit
Magnetization   0.00 Bohr magnetons per cell
Theoretical density   7.3 g/cm³
DOS at the Fermi energy   0.486 states/eV per atom
E_tot   -4.31 eV per atom

***

No. 3
This record from the Alexandria database describes a relaxed GdEr2Zn crystal. The functional is GGA-PBE.

abc: 4.710 4.728 4.728
angles: 90.00 90.00 90.00
Atoms (fractional coordinates):
Zn 0.500 0.000 0.000
Gd 0.500 0.500 0.500
Er 0.000 0.000 0.500
Er 0.000 0.500 0.000

Calculated values
Energy of formation   -0.2 eV per formula unit
Magnetization   7.77 Bohr magnetons per cell
Theoretical density   8.8 g/cm³
DOS at the Fermi energy   1.256 states/eV per atom
E_tot   -6.16 eV per atom

***

No. 4
This record from the Alexandria database describes a relaxed LiNd3Te2Cl6 crystal. The functional is GGA-PBE.

abc: 6.621 8.526 8.282
angles: 120.98 85.03 90.00
Atoms (fractional coordinates):
Te 0.202 0.688 0.376
Li 0.500 0.000 0.000
Cl 0.733 0.810 0.146
Cl 0.733 0.336 0.146
Nd 0.500 0.500 0.500
Cl 0.267 0.664 0.854
Cl 0.680 0.841 0.682
Te 0.798 0.312 0.624
Cl 0.267 0.190 0.854
Nd 0.500 0.000 0.500
Cl 0.320 0.159 0.318
Nd 0.000 0.500 0.000

Calculated values
Magnetization   0.00 Bohr magnetons per cell
Theoretical density   3.8 g/cm³
DOS at the Fermi energy   0.000 states/eV per atom
ΔE_f (raw)   -1.87 eV/atom
E_tot   -4.67 eV per atom

***

What did the first record say?
This record from the Alexandria database describes a relaxed ZrSBrO6 crystal. The functional is GGA-PBE.

abc: 5.562 5.638 6.120
angles: 99.72 93.48 55.18
Atoms (fractional coordinates):
O 0.288 0.728 0.316
Zr 0.657 0.622 0.447
Br 0.018 0.085 0.167
O 0.107 0.443 0.600
O 0.512 0.001 0.732
O 0.871 0.469 0.133
O 0.543 0.047 0.362
O 0.576 0.379 0.655
S 0.428 0.227 0.589

Calculated values
Magnetization   1.00 Bohr magnetons per cell
Theoretical density   3.2 g/cm³
ΔE_f (raw)   -1.46 eV/atom
E_tot   -6.36 eV per atom

***

> What is the theoretical density in the third record?

8.8 g/cm³

***

> Look up the E_tot of the first one.

-6.36 eV per atom